This record from Alexandria via LeMat-Bulk describes Tm4Zn5Si6 after structural relaxation. The functional is PBE-GGA.

Lattice parameters (Å, degrees): 9.2984 9.2984 14.9805 90.00 90.00 154.23
Fractional coordinates of all 30 atoms:
Tm 0.0178 0.9822 0.5000
Tm 0.0331 0.9669 0.7635
Tm 0.1668 0.8332 0.3044
Tm 0.1753 0.8247 0.9445
Tm 0.8247 0.1753 0.4445
Tm 0.8332 0.1668 0.8044
Tm 0.9669 0.0331 0.2635
Tm 0.9822 0.0178 0.0000
Zn 0.1508 0.8492 0.6266
Zn 0.3009 0.6991 0.6236
Zn 0.3437 0.6563 0.2752
Zn 0.3502 0.6498 0.9783
Zn 0.4359 0.5641 0.6852
Zn 0.5641 0.4359 0.1852
Zn 0.6498 0.3502 0.4783
Zn 0.6563 0.3437 0.7752
Zn 0.6991 0.3009 0.1236
Zn 0.8492 0.1508 0.1266
Si 0.1126 0.8874 0.1182
Si 0.2220 0.7780 0.4867
Si 0.2276 0.7724 0.7642
Si 0.4322 0.5678 0.1297
Si 0.4327 0.5673 0.4052
Si 0.4431 0.5569 0.8549
Si 0.5569 0.4431 0.3549
Si 0.5673 0.4327 0.9052
Si 0.5678 0.4322 0.6297
Si 0.7724 0.2276 0.2642
Si 0.7780 0.2220 0.9867
Si 0.8874 0.1126 0.6182

Output
energy: -4.25 eV/atom

=====

This record from Alexandria via LeMat-Bulk describes BaY2TlN after structural relaxation. The functional is PBE-GGA.

Lattice parameters (Å, degrees): 4.9205 4.9205 5.5092 90.00 90.00 90.00
Fractional coordinates of all 5 atoms:
Ba 0.0000 0.0000 0.0000
Y 0.0000 0.5000 0.5000
Y 0.5000 0.0000 0.5000
Tl 0.5000 0.5000 0.0000
N 0.0000 0.0000 0.5000

Output
energy: -5.71 eV/atom

=====

This record from Alexandria via LeMat-Bulk describes Li12Au3Br5 after structural relaxation. The functional is PBE-GGA.

Lattice parameters (Å, degrees): 13.2753 13.2753 13.2753 109.47 109.47 109.47
Fractional coordinates of all 80 atoms:
Li 0.0610 0.2250 0.1451
Li 0.0610 0.3360 0.9159
Li 0.0799 0.7250 0.6640
Li 0.0799 0.8549 0.4159
Li 0.0841 0.6451 0.4201
Li 0.0841 0.9390 0.6640
Li 0.1451 0.0610 0.2250
Li 0.1451 0.5841 0.9201
Li 0.1640 0.2250 0.5799
Li 0.1640 0.4390 0.5841
Li 0.2250 0.1451 0.0610
Li 0.2250 0.5799 0.1640
Li 0.2750 0.3360 0.9201
Li 0.2750 0.4390 0.3549
Li 0.3360 0.9159 0.0610
Li 0.3360 0.9201 0.2750
Li 0.3549 0.2750 0.4390
Li 0.3549 0.5799 0.9159
Li 0.4159 0.0799 0.8549
Li 0.4159 0.8360 0.5610
Li 0.4201 0.0841 0.6451
Li 0.4201 0.8360 0.7750
Li 0.4390 0.3549 0.2750
Li 0.4390 0.5841 0.1640
Li 0.5610 0.4159 0.8360
Li 0.5610 0.6451 0.7250
Li 0.5799 0.1640 0.2250
Li 0.5799 0.9159 0.3549
Li 0.5841 0.1640 0.4390
Li 0.5841 0.9201 0.1451
Li 0.6451 0.4201 0.0841
Li 0.6451 0.7250 0.5610
Li 0.6640 0.0799 0.7250
Li 0.6640 0.0841 0.9390
Li 0.7250 0.5610 0.6451
Li 0.7250 0.6640 0.0799
Li 0.7750 0.4201 0.8360
Li 0.7750 0.8549 0.9390
Li 0.8360 0.5610 0.4159
Li 0.8360 0.7750 0.4201
Li 0.8549 0.4159 0.0799
Li 0.8549 0.9390 0.7750
Li 0.9159 0.0610 0.3360
Li 0.9159 0.3549 0.5799
Li 0.9201 0.1451 0.5841
Li 0.9201 0.2750 0.3360
Li 0.9390 0.6640 0.0841
Li 0.9390 0.7750 0.8549
Au 0.1250 0.2500 0.3750
Au 0.1250 0.3750 0.7500
Au 0.2500 0.3750 0.1250
Au 0.2500 0.8750 0.6250
Au 0.3750 0.1250 0.2500
Au 0.3750 0.7500 0.1250
Au 0.6250 0.2500 0.8750
Au 0.6250 0.8750 0.7500
Au 0.7500 0.1250 0.3750
Au 0.7500 0.6250 0.8750
Au 0.8750 0.6250 0.2500
Au 0.8750 0.7500 0.6250
Br 0.0000 0.0000 0.0000
Br 0.0000 0.0000 0.5000
Br 0.0000 0.5000 0.0000
Br 0.0000 0.5000 0.5000
Br 0.1250 0.7500 0.8750
Br 0.1250 0.8750 0.2500
Br 0.2500 0.1250 0.8750
Br 0.2500 0.6250 0.3750
Br 0.3750 0.2500 0.6250
Br 0.3750 0.6250 0.7500
Br 0.5000 0.0000 0.0000
Br 0.5000 0.0000 0.5000
Br 0.5000 0.5000 0.0000
Br 0.5000 0.5000 0.5000
Br 0.6250 0.3750 0.2500
Br 0.6250 0.7500 0.3750
Br 0.7500 0.3750 0.6250
Br 0.7500 0.8750 0.1250
Br 0.8750 0.1250 0.7500
Br 0.8750 0.2500 0.1250

Output
energy: -2.86 eV/atom

=====

This record from Alexandria via LeMat-Bulk describes Ca2MgHg after structural relaxation. The functional is PBE-GGA.

Lattice parameters (Å, degrees): 3.9056 3.9056 29.4154 90.00 90.00 120.00
Fractional coordinates of all 12 atoms:
Ca 0.0000 0.0000 0.2433
Ca 0.0000 0.0000 0.7567
Ca 0.3333 0.6667 0.4234
Ca 0.3333 0.6667 0.9100
Ca 0.6667 0.3333 0.0900
Ca 0.6667 0.3333 0.5766
Mg 0.0000 0.0000 0.0000
Mg 0.3333 0.6667 0.6667
Mg 0.6667 0.3333 0.3333
Hg 0.0000 0.0000 0.5000
Hg 0.3333 0.6667 0.1667
Hg 0.6667 0.3333 0.8333

Output
energy above the lowest structure with this stoichiometry: 171 meV/atom
energy relative to the elements: -3.51 kcal/mol of atoms

=====

This record from Alexandria via LeMat-Bulk describes Dy6Ga2AsSe3 after structural relaxation. The functional is PBE-GGA.

Lattice parameters (Å, degrees): 9.3357 9.3357 8.4246 106.27 106.27 24.92
Fractional coordinates of all 12 atoms:
Dy 0.0050 0.0050 0.2452
Dy 0.3348 0.3348 0.9071
Dy 0.3369 0.3369 0.4055
Dy 0.6631 0.6631 0.5945
Dy 0.6652 0.6652 0.0929
Dy 0.9950 0.9950 0.7548
Ga 0.1722 0.1722 0.3499
Ga 0.8278 0.8278 0.6501
As 0.5000 0.5000 0.0000
Se 0.1632 0.1632 0.8426
Se 0.5000 0.5000 0.5000
Se 0.8368 0.8368 0.1574

Output
energy: -5.40 eV/atom

=====

This record from Alexandria via LeMat-Bulk describes TlTeWN2 after structural relaxation. The functional is PBE-GGA.

Lattice parameters (Å, degrees): 4.0674 4.0674 5.6815 90.00 90.00 90.00
Fractional coordinates of all 5 atoms:
Tl 0.0000 0.0000 0.0000
Te 0.5000 0.5000 0.0000
W 0.5000 0.5000 0.5000
N 0.0000 0.5000 0.5000
N 0.5000 0.0000 0.5000

Output
energy above the lowest structure with this stoichiometry: 0 meV/atom